PrSnSb2: optimized geometry, GGA-PBE.

Structure (POSCAR):
```
PrSnSb2
1.0
-5.250 -4.171 -0.347
3.154 -0.868 5.863
-4.228 1.312 5.048
Sn Sb Pr
2 4 2
Direct
0.500 0.750 0.750
0.500 0.250 0.250
0.076 0.788 0.712
0.500 0.288 0.788
0.924 0.212 0.288
0.500 0.712 0.212
0.000 0.750 0.250
0.000 0.250 0.750
```

Results
For the formation energy from raw total energies, the calculation gives -12.31 kcal/mol of atoms. As for the size of the total moment: 0.000 μB/atom.

---

PrSn4Sb: optimized geometry, GGA-PBE.

Structure (POSCAR):
```
PrSn4Sb
1.0
6.198 0.000 0.000
3.099 5.368 0.000
3.099 1.789 5.061
Sn Pr Sb
4 1 1
Direct
0.625 0.125 0.625
0.625 0.625 0.625
0.625 0.625 0.125
0.125 0.625 0.625
0.000 0.000 0.000
0.250 0.250 0.250
```

Results
For the formation energy from raw total energies, the calculation gives -4.57 kcal/mol of atoms. As for the size of the total moment: 0.000 μB/atom.

---

Pr6SnSb3: optimized geometry, GGA-PBE.

Structure (POSCAR):
```
Pr6SnSb3
1.0
7.967 0.000 0.000
0.000 9.627 -0.279
0.000 -2.420 9.322
Pr Sb Sn
12 6 2
Direct
0.652 0.277 0.368
0.737 0.908 0.454
0.635 0.249 0.751
0.756 0.001 0.999
0.135 0.751 0.249
0.652 0.632 0.723
0.152 0.723 0.632
0.256 0.999 0.001
0.152 0.368 0.277
0.237 0.092 0.546
0.737 0.546 0.092
0.237 0.454 0.908
0.352 0.419 0.581
0.983 0.076 0.286
0.483 0.924 0.714
0.852 0.581 0.419
0.483 0.286 0.076
0.983 0.714 0.924
0.501 0.834 0.166
0.001 0.166 0.834
```

Results
For the formation energy from raw total energies, the calculation gives -17.01 kcal/mol of atoms. As for the size of the total moment: 0.172 μB/atom.

---

PrSnSb2: optimized geometry, GGA-PBE.

Structure (POSCAR):
```
PrSnSb2
1.0
4.493 0.000 0.000
0.000 4.493 0.000
0.000 0.000 11.564
Sn Pr Sb
2 2 4
Direct
0.500 0.500 0.000
0.000 0.000 0.000
0.000 0.500 0.281
0.500 0.000 0.719
0.500 0.500 0.500
0.000 0.000 0.500
0.000 0.500 0.773
0.500 0.000 0.227
```

Results
For the formation energy from raw total energies, the calculation gives -12.54 kcal/mol of atoms. As for the size of the total moment: 0.000 μB/atom.

---

Pr5Sn2Sb: optimized geometry, GGA-PBE.

Structure (POSCAR):
```
Pr5Sn2Sb
1.0
-3.695 5.305 -4.787
-7.457 -2.180 3.340
5.961 0.953 3.214
Sn Sb Pr
2 1 5
Direct
0.721 0.260 0.442
0.224 0.730 0.447
0.222 0.210 0.444
0.249 0.735 0.964
0.730 0.216 0.925
0.195 0.216 0.925
0.715 0.735 0.964
0.722 0.676 0.445
```

Results
For the formation energy from raw total energies, the calculation gives -13.14 kcal/mol of atoms. As for the size of the total moment: 0.000 μB/atom.

---

PrSn2Sb: optimized geometry, GGA-PBE.

Structure (POSCAR):
```
PrSn2Sb
1.0
3.817 0.000 0.000
1.908 3.306 0.000
1.908 1.102 10.555
Sb Sn Pr
1 2 1
Direct
0.500 0.500 0.500
0.101 0.101 0.697
0.899 0.899 0.303
0.000 0.000 0.000
```

Results
For the formation energy from raw total energies, the calculation gives 3.21 kcal/mol of atoms. As for the size of the total moment: 0.000 μB/atom.

---

Repeat the second record exactly.
PrSn4Sb: optimized geometry, GGA-PBE.

Structure (POSCAR):
```
PrSn4Sb
1.0
6.198 0.000 0.000
3.099 5.368 0.000
3.099 1.789 5.061
Sn Pr Sb
4 1 1
Direct
0.625 0.125 0.625
0.625 0.625 0.625
0.625 0.625 0.125
0.125 0.625 0.625
0.000 0.000 0.000
0.250 0.250 0.250
```

Results
For the formation energy from raw total energies, the calculation gives -4.57 kcal/mol of atoms. As for the size of the total moment: 0.000 μB/atom.

---

Among the records above, which one has the highest formation energy from raw total energies? PrSn2Sb

---

size of the total moment of number 5 (Pr5Sn2Sb)? 0.000 μB/atom